The following is a GGA-PBEsol calculation of crystalline CaSiTe2 at its relaxed geometry, from Alexandria via LeMat-Bulk.

Geometry as extended XYZ:
```
8
Lattice="6.4131 0.0000 0.0000 0.0000 6.4131 0.0000 -3.2065 -3.2065 7.2601" Properties=species:S:1:pos:R:3 pbc="T T T"
Si 3.2065 0.0000 3.6301
Si 3.2065 3.2065 0.0000
Ca 0.0000 3.2065 3.6301
Ca 0.0000 0.0000 0.0000
Te 1.6033 1.3361 5.4451
Te 4.5427 1.6033 1.8150
Te 1.8704 4.8098 1.8150
Te -1.6033 -1.3361 5.4451
```

Results
Formation energy from raw total energies   -1.47 eV/f.u.
SG   No. 122
Magnetization   0.0 μB/f.u.
DFT total energy   -32.80 eV per cell
E above lowest polymorph   0.00 eV/f.u.